## A
VASP calculation (GGA-PBE) on a geometry-optimized Be3SiAg structure. Values from VASP.

Summary:
SG ... Pm-3m, No. 221

Geometry as Quantum ESPRESSO input:
```
&SYSTEM
  ibrav = 0, nat = 5, ntyp = 3
/
ATOMIC_SPECIES
Be 9.01 Be.upf
Si 28.09 Si.upf
Ag 107.87 Ag.upf
ATOMIC_POSITIONS crystal
Be 0.000 0.000 0.500
Be 0.000 0.500 0.000
Be 0.500 0.000 0.000
Si 0.000 0.000 0.000
Ag 0.500 0.500 0.500
CELL_PARAMETERS angstrom
4.214 0.000 0.000
0.000 4.214 0.000
0.000 0.000 4.214
```



## B
VASP calculation (GGA-PBE) on a geometry-optimized Be3SiAg structure. Values from VASP.

Summary:
SG ... Pm-3m, No. 221

Geometry as Quantum ESPRESSO input:
```
&SYSTEM
  ibrav = 0, nat = 5, ntyp = 3
/
ATOMIC_SPECIES
Be 9.01 Be.upf
Si 28.09 Si.upf
Ag 107.87 Ag.upf
ATOMIC_POSITIONS crystal
Be 0.000 0.000 0.500
Be 0.000 0.500 0.000
Be 0.500 0.000 0.000
Si 0.500 0.500 0.500
Ag 0.000 0.000 0.000
CELL_PARAMETERS angstrom
4.307 0.000 0.000
0.000 4.307 0.000
0.000 0.000 4.307
```



Among the structures shown above, A is the most stable, with the second-best lying 0.216 eV/atom higher.